Crystalline SrHo5Bi6 at its relaxed geometry, computed with PBE.

Summary:
Its total moment is 0.00 Bohr magnetons per cell. The calculation puts the energy of formation at -18.71 kcal/mol of atoms. The calculation puts the raw total energy at -4.80 eV per atom.

Cell: 7.8113 13.5555 7.8483 Å, 90.00 109.47 90.00°
With the nearest neighbours (Å) after each atom.
Space group C2/m (No. 12)
Unique sites:
Sr (0.0000, 0.0000, 0.0000) [2 per cell]  6 Bi 3.29-3.31
Ho (0.0000, 0.1615, 0.5000) [4 per cell]  6 Bi 3.13-3.21
Ho (0.0000, 0.3312, 0.0000) [4 per cell]  6 Bi 3.18-3.19
Ho (0.0000, 0.5000, 0.5000) [2 per cell]  6 Bi 3.10-3.20
Bi (0.2386, 0.5000, 0.2532) [4 per cell]  5 Ho 3.10-3.19, 1 Sr 3.29
Bi (0.2407, 0.3275, 0.7418) [8 per cell]  5 Ho 3.13-3.21, 1 Sr 3.31



Crystalline SrHoBi2 at its relaxed geometry, computed with PBE.

Summary:
For the energy relative to the lowest polymorph listed for this composition, the calculation gives 0.117 eV per atom. Its total moment is 0.21 Bohr magnetons per cell. The calculation puts the energy of formation at -14.69 kcal/mol of atoms. The calculation puts the raw total energy at -4.14 eV per atom.

Cell: 6.0172 6.0172 3.5162 Å, 90.00 90.00 90.00°
With the nearest neighbours (Å) after each atom.
Space group P4/mmm (No. 123)
Unique sites:
Sr (0.0000, 0.0000, 0.0000) [1 per cell]  8 Bi 3.48, 2 Sr 3.52
Ho (0.5000, 0.5000, 0.0000) [1 per cell]  8 Bi 3.48, 2 Ho 3.52
Bi (0.0000, 0.5000, 0.5000) [2 per cell]  4 Ho 3.48, 4 Sr 3.48, 2 Bi 3.52



Crystalline SrHoBi2 at its relaxed geometry, computed with PBE.

Summary:
For the energy relative to the lowest polymorph listed for this composition, the calculation gives 0.088 eV per atom. Its total moment is 0.00 Bohr magnetons per cell. The calculation puts the energy of formation at -15.37 kcal/mol of atoms. The calculation puts the raw total energy at -4.17 eV per atom.

Cell: 4.7443 4.7443 22.6516 Å, 90.00 90.00 120.00°
With the nearest neighbours (Å) after each atom.
Space group R3m (No. 160, hexagonal axes)
Unique sites:
Sr (0.0000, 0.0000, 0.0000) [3 per cell]  6 Bi 3.40-3.47
Ho (0.0000, 0.0000, 0.8278) [3 per cell]  6 Bi 3.19-3.26
Bi (0.0000, 0.0000, 0.4223) [3 per cell]  3 Ho 3.19, 1 Bi 3.40, 3 Sr 3.40
Bi (0.0000, 0.0000, 0.5724) [3 per cell]  3 Ho 3.26, 1 Bi 3.40, 3 Sr 3.47